{"formula": "LiTbHfOs", "functional": "PBE-GGA", "state": "optimized geometry", "lattice": [[0.000, 3.367, 3.367], [3.367, 0.000, 3.367], [3.367, 3.367, 0.000]], "species": ["Li", "Tb", "Hf", "Os"], "frac_coords": [[0.000, 0.000, 0.000], [0.250, 0.250, 0.250], [0.750, 0.750, 0.750], [0.500, 0.500, 0.500]], "crystal_system": "cubic", "sg": "No. 216", "formation_energy_mev_per_atom": -245, "total_magnetization_mub_per_cell": 0.0, "dft_energy_ev_per_cell": -28.71, "dos_ef_per_ev_fu": 3.0}


{"formula": "Th3Ag5H12", "functional": "PBE-GGA", "state": "optimized geometry", "lattice": [[-6.302, 6.302, 6.302], [6.302, -6.302, 6.302], [6.302, 6.302, -6.302]], "species": ["Th", "Th", "Th", "Th", "Th", "Th", "Th", "Th", "Th", "Th", "Th", "Th", "Ag", "Ag", "Ag", "Ag", "Ag", "Ag", "Ag", "Ag", "Ag", "Ag", "Ag", "Ag", "Ag", "Ag", "Ag", "Ag", "Ag", "Ag", "Ag", "Ag", "H", "H", "H", "H", "H", "H", "H", "H", "H", "H", "H", "H", "H", "H", "H", "H", "H", "H", "H", "H", "H", "H", "H", "H", "H", "H", "H", "H", "H", "H", "H", "H", "H", "H", "H", "H", "H", "H", "H", "H", "H", "H", "H", "H", "H", "H", "H", "H"], "frac_coords": [[0.125, 0.250, 0.375], [0.125, 0.375, 0.750], [0.250, 0.375, 0.125], [0.250, 0.875, 0.625], [0.375, 0.125, 0.250], [0.375, 0.750, 0.125], [0.625, 0.250, 0.875], [0.625, 0.875, 0.750], [0.750, 0.125, 0.375], [0.750, 0.625, 0.875], [0.875, 0.625, 0.250], [0.875, 0.750, 0.625], [0.000, 0.000, 0.000], [0.000, 0.000, 0.500], [0.000, 0.500, 0.000], [0.000, 0.500, 0.500], [0.125, 0.750, 0.875], [0.125, 0.875, 0.250], [0.250, 0.125, 0.875], [0.250, 0.625, 0.375], [0.375, 0.250, 0.625], [0.375, 0.625, 0.750], [0.500, 0.000, 0.000], [0.500, 0.000, 0.500], [0.500, 0.500, 0.000], [0.500, 0.500, 0.500], [0.625, 0.375, 0.250], [0.625, 0.750, 0.375], [0.750, 0.375, 0.625], [0.750, 0.875, 0.125], [0.875, 0.125, 0.750], [0.875, 0.250, 0.125], [0.045, 0.226, 0.136], [0.045, 0.319, 0.909], [0.090, 0.726, 0.681], [0.090, 0.864, 0.409], [0.091, 0.636, 0.410], [0.091, 0.955, 0.681], [0.136, 0.045, 0.226], [0.136, 0.591, 0.910], [0.181, 0.226, 0.590], [0.181, 0.455, 0.591], [0.226, 0.136, 0.045], [0.226, 0.590, 0.181], [0.274, 0.319, 0.910], [0.274, 0.455, 0.364], [0.319, 0.909, 0.045], [0.319, 0.910, 0.274], [0.364, 0.274, 0.455], [0.364, 0.590, 0.909], [0.409, 0.090, 0.864], [0.409, 0.819, 0.545], [0.410, 0.091, 0.636], [0.410, 0.819, 0.774], [0.455, 0.364, 0.274], [0.455, 0.591, 0.181], [0.545, 0.409, 0.819], [0.545, 0.636, 0.726], [0.590, 0.181, 0.226], [0.590, 0.909, 0.364], [0.591, 0.181, 0.455], [0.591, 0.910, 0.136], [0.636, 0.410, 0.091], [0.636, 0.726, 0.545], [0.681, 0.090, 0.726], [0.681, 0.091, 0.955], [0.726, 0.545, 0.636], [0.726, 0.681, 0.090], [0.774, 0.410, 0.819], [0.774, 0.864, 0.955], [0.819, 0.545, 0.409], [0.819, 0.774, 0.410], [0.864, 0.409, 0.090], [0.864, 0.955, 0.774], [0.909, 0.045, 0.319], [0.909, 0.364, 0.590], [0.910, 0.136, 0.591], [0.910, 0.274, 0.319], [0.955, 0.681, 0.091], [0.955, 0.774, 0.864]], "crystal_system": "cubic", "sg": "No. 230", "total_magnetization_mub_per_cell": 0.0, "dft_energy_ev_per_cell": -312.43, "dos_ef_per_ev_fu": 6.0}


{"formula": "Hf2ZnSi", "functional": "PBE-GGA", "state": "optimized geometry", "lattice": [[1.832, 1.058, 6.769], [-1.832, 1.058, 6.769], [0.000, -2.115, 6.769]], "species": ["Hf", "Hf", "Zn", "Si"], "frac_coords": [[0.242, 0.242, 0.242], [0.758, 0.758, 0.758], [0.000, 0.000, 0.000], [0.500, 0.500, 0.500]], "crystal_system": "trigonal", "sg": "No. 166", "total_magnetization_mub_per_cell": 0.0, "e_form_raw_ev_per_atom": -0.248, "dft_energy_ev_per_cell": -27.59, "dos_ef_per_ev_fu": 0.9}